Record 1
# PmSiPd3 | Alexandria | PBE-GGA | optimized geometry
data_PmSiPd3
_space_group_name_H-M_alt 'P 1'
_space_group_IT_number 1
_cell_length_a 6.196
_cell_length_b 6.196
_cell_length_c 11.436
_cell_angle_alpha 90.00
_cell_angle_beta 90.00
_cell_angle_gamma 120.00
loop_
_space_group_symop_operation_xyz
'x,y,z'
loop_
_atom_site_label
_atom_site_type_symbol
_atom_site_fract_x
_atom_site_fract_y
_atom_site_fract_z
Pm1 Pm 0.333 0.667 0.250
Pm2 Pm 0.667 0.333 0.750
Pm3 Pm 0.000 0.000 0.500
Pm4 Pm 0.000 0.000 0.000
Si1 Si 0.667 0.333 0.140
Si2 Si 0.333 0.667 0.640
Si3 Si 0.333 0.667 0.860
Si4 Si 0.667 0.333 0.360
Pd1 Pd 0.144 0.288 0.750
Pd2 Pd 0.288 0.144 0.250
Pd3 Pd 0.856 0.144 0.250
Pd4 Pd 0.144 0.856 0.750
Pd5 Pd 0.712 0.856 0.750
Pd6 Pd 0.856 0.712 0.250
Pd7 Pd 0.500 0.500 0.500
Pd8 Pd 0.500 0.000 0.000
Pd9 Pd 0.500 0.500 0.000
Pd10 Pd 0.500 0.000 0.500
Pd11 Pd 0.000 0.500 0.500
Pd12 Pd 0.000 0.500 0.000
# E_form (uncorrected) ... -0.730 eV per atom
# Energy above the lowest structure with this stoichiometry ... 0 meV/atom
# E ... -0.4322 Ry/atom



Record 2
# Pm3Si7Pd2 | Alexandria | PBE-GGA | optimized geometry
data_Pm3Si7Pd2
_space_group_name_H-M_alt 'P 1'
_space_group_IT_number 1
_cell_length_a 4.141
_cell_length_b 4.293
_cell_length_c 12.915
_cell_angle_alpha 98.36
_cell_angle_beta 90.00
_cell_angle_gamma 90.00
loop_
_space_group_symop_operation_xyz
'x,y,z'
loop_
_atom_site_label
_atom_site_type_symbol
_atom_site_fract_x
_atom_site_fract_y
_atom_site_fract_z
Pm1 Pm 0.500 0.500 0.000
Pm2 Pm 0.000 0.197 0.368
Pm3 Pm 0.000 0.803 0.632
Si1 Si 0.500 0.730 0.452
Si2 Si 0.500 0.270 0.548
Si3 Si 0.000 0.717 0.169
Si4 Si 0.000 0.000 0.000
Si5 Si 0.000 0.283 0.831
Si6 Si 0.500 0.907 0.829
Si7 Si 0.500 0.093 0.171
Pd1 Pd 0.500 0.624 0.261
Pd2 Pd 0.500 0.376 0.739
# E_form (uncorrected) ... -0.639 eV per atom
# E ... -0.4304 Ry/atom



Record 3
# PmSi2Pd | Alexandria | PBE-GGA | optimized geometry
data_PmSi2Pd
_space_group_name_H-M_alt 'P 1'
_space_group_IT_number 1
_cell_length_a 4.122
_cell_length_b 4.122
_cell_length_c 5.693
_cell_angle_alpha 68.78
_cell_angle_beta 68.78
_cell_angle_gamma 60.00
loop_
_space_group_symop_operation_xyz
'x,y,z'
loop_
_atom_site_label
_atom_site_type_symbol
_atom_site_fract_x
_atom_site_fract_y
_atom_site_fract_z
Si1 Si 0.786 0.786 0.641
Si2 Si 0.214 0.214 0.359
Pd1 Pd 0.500 0.500 0.500
Pm1 Pm 0.000 0.000 0.000
# E_form (uncorrected) ... -0.781 eV per atom
# Energy above the lowest structure with this stoichiometry ... 55 meV/atom
# E ... -0.4394 Ry/atom